1.
A plane-wave DFT calculation with SCAN was carried out for a PBEsol-optimized structure of FeBiS2.

Cell: 3.9980 3.9980 22.2635 Å, 90.00 90.00 120.00°
Closest atoms and distances in Å follow each position.
Space group R-3m (No. 166, hexagonal axes)
Symmetry-distinct sites (fractional):
Fe: 0.0000 0.0000 0.0000 x3  2 S 2.13
Bi: 0.0000 0.0000 0.5000 x3  6 S 2.80
S: 0.0000 0.0000 0.0958 x6  1 Fe 2.13

Computed properties:
Size of the total moment = 3.00 μB/f.u.
Uncorrected formation energy = 0.12 eV/atom

2.
A plane-wave DFT calculation with SCAN was carried out for a PBEsol-optimized structure of FeBiS2.

Cell: 6.1413 6.1413 8.6090 Å, 90.00 90.00 90.00°
Closest atoms and distances in Å follow each position.
Space group I-42d (No. 122)
Symmetry-distinct sites (fractional):
Fe: 0.0000 0.0000 0.0000 x4  4 S 2.09
Bi: 0.0000 0.0000 0.5000 x4  4 S 2.85
S: 0.1501 0.2500 0.1250 x8  2 Fe 2.09

Computed properties:
Size of the total moment = 0.00 μB/f.u.
Uncorrected formation energy = 0.03 eV/atom

3.
A plane-wave DFT calculation with SCAN was carried out for a PBEsol-optimized structure of FeBi2Se.

Cell: 6.1666 6.1666 12.5750 Å, 90.00 90.00 90.00°
Closest atoms and distances in Å follow each position.
Space group I-42d (No. 122)
Symmetry-distinct sites (fractional):
Fe: 0.0000 0.0000 0.0000 x4  4 Bi 2.51
Bi: 0.1940 0.2500 0.1250 x8  2 Fe 2.51
Se: 0.0000 0.0000 0.5000 x4  4 Bi 2.90

Computed properties:
Size of the total moment = 2.12 μB/f.u.
Uncorrected formation energy = 0.45 eV/atom

4.
A plane-wave DFT calculation with SCAN was carried out for a PBEsol-optimized structure of FeBi3Se.

Cell: 5.4338 5.4338 5.4338 Å, 90.00 90.00 90.00°
Closest atoms and distances in Å follow each position.
Space group Pm-3m (No. 221)
Symmetry-distinct sites (fractional):
Fe: 0.0000 0.0000 0.0000 x1  12 Bi 3.84
Bi: 0.0000 0.5000 0.5000 x3  2 Se 2.72
Se: 0.5000 0.5000 0.5000 x1  6 Bi 2.72

Computed properties:
Size of the total moment = 3.49 μB/f.u.
Uncorrected formation energy = 1.17 eV/atom

5.
A plane-wave DFT calculation with SCAN was carried out for a PBEsol-optimized structure of FeSi3Bi.

Cell: 4.4555 4.4555 4.4555 Å, 90.00 90.00 90.00°
Closest atoms and distances in Å follow each position.
Space group Pm-3m (No. 221)
Symmetry-distinct sites (fractional):
Fe: 0.0000 0.0000 0.0000 x1  6 Si 2.23
Si: 0.0000 0.0000 0.5000 x3  2 Fe 2.23
Bi: 0.5000 0.5000 0.5000 x1  12 Si 3.15

Computed properties:
Size of the total moment = 0.00 μB/f.u.
Uncorrected formation energy = 0.52 eV/atom

6.
A plane-wave DFT calculation with SCAN was carried out for a PBEsol-optimized structure of SrFeBi3.

Cell: 5.8981 5.8981 5.8981 Å, 90.00 90.00 90.00°
Closest atoms and distances in Å follow each position.
Space group Pm-3m (No. 221)
Symmetry-distinct sites (fractional):
Sr: 0.0000 0.0000 0.0000 x1  6 Bi 2.95
Fe: 0.5000 0.5000 0.5000 x1  12 Bi 4.17
Bi: 0.0000 0.0000 0.5000 x3  2 Sr 2.95

Computed properties:
DFT formation energy = 1.311 eV per atom
Size of the total moment = 3.65 μB/f.u.

7.
A plane-wave DFT calculation with SCAN was carried out for a PBEsol-optimized structure of SrTlFeBi2.

Cell: 5.1234 5.1234 5.5097 Å, 90.00 90.00 90.00°
Closest atoms and distances in Å follow each position.
Space group P4/mmm (No. 123)
Symmetry-distinct sites (fractional):
Sr: 0.0000 0.0000 0.0000 x1  2 Fe 2.75
Tl: 0.5000 0.5000 0.0000 x1  4 Sr 3.62, 8 Bi 3.76
Fe: 0.0000 0.0000 0.5000 x1  4 Bi 2.56, 2 Sr 2.75
Bi: 0.0000 0.5000 0.5000 x2  2 Fe 2.56

Computed properties:
DFT formation energy = 0.087 eV per atom
Size of the total moment = 2.65 μB/f.u.

8.
A plane-wave DFT calculation with SCAN was carried out for a PBEsol-optimized structure of Fe2Bi2Te.

Cell: 4.4518 4.4518 11.2800 Å, 90.00 90.00 90.00°
Closest atoms and distances in Å follow each position.
Space group I4/mmm (No. 139)
Symmetry-distinct sites (fractional):
Fe: 0.0000 0.0000 0.0979 x4  1 Fe 2.21
Bi: 0.0000 0.5000 0.2500 x4  4 Fe 2.81
Te: 0.0000 0.0000 0.5000 x2  8 Fe 3.34, 8 Bi 3.59

Computed properties:
Size of the total moment = 5.36 μB/f.u.
Uncorrected formation energy = 0.64 eV/atom

9.
A plane-wave DFT calculation with SCAN was carried out for a PBEsol-optimized structure of Ti4FeBi2.

Cell: 10.3896 10.3896 4.8888 Å, 90.00 90.00 90.00°
Closest atoms and distances in Å follow each position.
Space group I4/mcm (No. 140)
Symmetry-distinct sites (fractional):
Ti: 0.0802 0.1921 0.0000 x16  2 Fe 2.48
Fe: 0.0000 0.0000 0.2500 x4  2 Fe 2.44, 8 Ti 2.48
Bi: 0.1385 0.3615 0.5000 x8  8 Ti 2.87-3.07

Computed properties:
DFT formation energy = -0.324 eV per atom
Size of the total moment = 1.16 μB/f.u.

10.
A plane-wave DFT calculation with SCAN was carried out for a PBEsol-optimized structure of FeBi2W.

Cell: 6.7572 6.7572 6.7572 Å, 90.00 90.00 90.00°
Closest atoms and distances in Å follow each position.
Space group Fm-3m (No. 225)
Symmetry-distinct sites (fractional):
Fe: 0.0000 0.0000 0.0000 x4  8 Bi 2.93
Bi: 0.2500 0.2500 0.2500 x8  4 W 2.93, 4 Fe 2.93
W: 0.0000 0.0000 0.5000 x4  8 Bi 2.93

Computed properties:
DFT formation energy = 1.100 eV per atom
Size of the total moment = 4.25 μB/f.u.

11.
A plane-wave DFT calculation with SCAN was carried out for a PBEsol-optimized structure of Y6FeBi2.

Cell: 8.2380 8.2380 4.1147 Å, 90.00 90.00 120.00°
Closest atoms and distances in Å follow each position.
Space group P-62m (No. 189)
Symmetry-distinct sites (fractional):
Y: 0.0000 0.2313 0.0000 x3  2 Fe 2.80
Y: 0.0000 0.6052 0.5000 x3  1 Fe 3.25, 4 Bi 3.26, 4 Y 3.50
Fe: 0.0000 0.0000 0.5000 x1  6 Y 2.80
Bi: 0.3333 0.6667 0.0000 x2  9 Y 3.25-3.26

Computed properties:
DFT formation energy = -0.519 eV per atom
Size of the total moment = 0.73 μB/f.u.

12.
A plane-wave DFT calculation with SCAN was carried out for a PBEsol-optimized structure of Zr6FeBi2.

Cell: 7.8544 7.8544 3.5984 Å, 90.00 90.00 120.00°
Closest atoms and distances in Å follow each position.
Space group P-62m (No. 189)
Symmetry-distinct sites (fractional):
Zr: 0.0000 0.3903 0.0000 x3  4 Bi 3.02, 1 Fe 3.07, 4 Zr 3.22
Zr: 0.0000 0.7641 0.5000 x3  2 Fe 2.58
Fe: 0.0000 0.0000 0.0000 x1  6 Zr 2.58
Bi: 0.3333 0.6667 0.5000 x2  9 Zr 3.02-3.07

Computed properties:
DFT formation energy = -0.374 eV per atom
Size of the total moment = 0.00 μB/f.u.

Q: Which value of size of the total moment does entry 8 give?
A: 5.36 μB/f.u.